VASP calculation (GGA-PBEsol) on a relaxed CaCr2Au crystal.

a b c (Å): 3.746 3.746 4.586
angles (deg): 90.00 90.00 90.00
Fractional positions:
Ca 0.000 0.000 0.000
Cr 0.000 0.500 0.500
Cr 0.500 0.000 0.500
Au 0.500 0.500 0.000

ΔE_f ... 0.76 eV/atom
Crystal system ... tetragonal
Space-group type ... No. 123
Energy above the lowest structure with this stoichiometry ... 152 meV per atom